No. 1
8
Lattice="4.712 0.000 0.000 0.000 8.375 0.200 0.000 -2.873 7.821" Properties=species:S:1:pos:R:3 comment="PBE-GGA Ac4InSbTe2, optimized geometry" total_magnetization_mub_per_cell=0.0 final_energy_ev_per_cell=-38.76 raw_formation_energy_ev_per_atom=-1.1474 pbc="T T T"
Ac 2.356 1.390 1.922
Ac 2.356 4.112 6.098
Ac 0.000 -0.062 5.973
Ac 0.000 5.564 2.048
In 2.356 4.187 0.100
Sb 0.000 0.000 0.000
Te 2.356 -1.436 3.910
Te 0.000 2.751 4.010

***

No. 2
6
Lattice="0.000 3.333 3.333 3.333 0.000 3.333 3.333 3.333 0.000" Properties=species:S:1:pos:R:3 comment="PBE-GGA MgMn4Ru, optimized geometry" total_magnetization_mub_per_cell=0.0 final_energy_ev_per_cell=-46.68 pbc="T T T"
Mg 0.000 0.000 0.000
Mn 2.489 4.176 4.176
Mn 4.176 4.176 2.489
Mn 4.176 2.489 4.176
Mn 2.489 2.489 2.489
Ru 4.999 4.999 4.999

***

No. 3
4
Lattice="4.602 0.000 0.000 2.301 3.985 0.000 2.301 1.328 3.757" Properties=species:S:1:pos:R:3 comment="PBE-GGA LiDyGaRu, optimized geometry" total_magnetization_mub_per_cell=0.0 final_energy_ev_per_cell=-20.09 pbc="T T T"
Ru 6.902 3.985 2.818
Li 2.301 1.328 0.939
Ga 4.602 2.657 1.879
Dy 0.000 0.000 0.000

***

No. 4
15
Lattice="-3.874 6.069 -5.062 2.276 -7.565 -3.160 -7.817 -0.240 5.695" Properties=species:S:1:pos:R:3 comment="PBE-GGA Cs3Th3PdSe8, optimized geometry" total_magnetization_mub_per_cell=0.1 final_energy_ev_per_cell=-78.72 raw_formation_energy_ev_per_atom=-1.3885 pbc="T T T"
Cs 0.000 0.000 0.000
Cs 1.138 -3.783 -1.580
Cs -0.799 -0.748 -4.111
Th -5.846 2.914 0.316
Th -4.707 -0.868 -1.264
Th -2.770 -3.902 1.267
Pd -3.908 -0.120 2.847
Se -2.209 -2.506 -1.313
Se -7.205 0.769 -1.215
Se -4.380 0.276 -3.969
Se -5.035 -2.012 1.441
Se -5.212 4.108 -2.250
Se -4.203 -5.845 -0.278
Se -3.433 1.323 0.074
Se -5.981 -3.059 -2.602

***

No. 5
10
Lattice="9.019 0.000 0.000 0.000 9.019 0.000 0.000 0.000 3.625" Properties=species:S:1:pos:R:3 comment="PBE-GGA Sr2InAs2, optimized geometry" total_magnetization_mub_per_cell=0.0 final_energy_ev_per_cell=-36.81 e_above_lowest_polymorph_mev_per_atom=233 pbc="T T T"
Sr 3.279 7.789 0.000
Sr 7.789 5.740 0.000
Sr 5.740 1.231 0.000
Sr 1.231 3.279 0.000
As 1.489 5.999 1.812
As 5.999 7.530 1.812
As 7.530 3.020 1.812
As 3.020 1.489 1.812
In 0.000 0.000 0.000
In 4.510 4.510 0.000

***

No. 6
80
Lattice="-4.849 8.272 -1.224 -4.115 -1.639 -8.591 -20.734 -6.335 6.458" Properties=species:S:1:pos:R:3 comment="PBE-GGA Sr2P7Cl, optimized geometry" total_magnetization_mub_per_cell=0.0 final_energy_ev_per_cell=-406.90 raw_formation_energy_ev_per_atom=-0.7783 pbc="T T T"
Sr -9.921 5.180 -0.730
Sr -19.777 -4.883 -2.627
Sr -9.501 -0.497 -4.951
Sr -20.198 0.794 1.593
Sr -8.893 4.183 -6.378
Sr -10.448 -0.589 -0.112
Sr -20.805 -3.886 3.021
Sr -19.250 0.886 -3.245
Sr -5.263 1.490 -2.767
Sr -14.052 1.747 -3.988
Sr -24.436 -1.194 -0.590
Sr -15.646 -1.450 0.631
Sr -12.716 -3.076 -3.373
Sr -6.174 0.582 -7.642
Sr -16.982 3.373 0.016
Sr -23.524 -0.285 4.285
P -12.690 4.246 -6.400
P -6.683 -0.232 0.222
P -17.009 -3.949 3.043
P -23.016 0.529 -3.579
P -6.734 -2.141 -5.441
P -12.057 -1.695 -6.571
P -22.965 2.437 2.084
P -17.641 1.992 3.214
P -14.450 4.800 -5.201
P -5.072 1.237 0.527
P -15.248 -4.503 1.843
P -24.626 -0.940 -3.884
P -11.474 3.262 -4.839
P -7.906 0.863 -1.256
P -18.224 -2.965 1.482
P -21.792 -0.566 -2.101
P -6.683 -1.516 -3.382
P -12.313 0.443 -6.578
P -23.015 1.813 0.024
P -17.386 -0.146 3.220
P -8.627 -2.390 -2.392
P -10.369 1.324 -7.562
P -21.071 2.687 -0.965
P -19.329 -1.027 4.205
P -11.506 4.869 -3.399
P -8.129 2.696 -0.140
P -18.193 -4.572 0.042
P -21.569 -2.399 -3.218
P -6.152 4.643 -2.823
P -13.464 2.673 -0.900
P -23.546 -4.346 -0.534
P -16.234 -2.376 -2.457
P -3.949 0.815 -5.533
P -15.097 -1.209 -3.921
P -25.750 -0.518 2.176
P -14.601 1.506 0.564
P -15.709 -4.434 -3.018
P -23.832 -5.516 -2.372
P -13.989 4.731 -0.339
P -5.866 5.813 -0.985
P -8.223 5.134 -3.372
P -11.416 2.485 -0.126
P -21.475 -4.838 0.014
P -18.282 -2.189 -3.231
P -3.047 -1.110 -5.865
P -15.786 -2.157 -5.725
P -26.651 1.407 2.508
P -13.912 2.454 2.368
P -3.195 -0.985 -2.111
P -15.916 1.475 -6.686
P -26.503 1.282 -1.246
P -13.782 -1.178 3.329
P -6.473 7.723 -1.764
P -13.513 4.588 1.753
P -23.225 -7.426 -1.593
P -16.185 -4.291 -5.110
Cl -16.814 2.683 -2.994
Cl -2.679 2.967 -1.968
Cl -12.884 -2.386 -0.363
Cl -27.019 -2.670 -1.389
Cl -11.611 -0.216 -2.909
Cl -7.576 1.731 -5.127
Cl -18.088 0.513 -0.448
Cl -22.122 -1.434 1.769

***

No. 7
6
Lattice="4.177 0.000 0.037 0.000 4.210 0.000 -1.892 0.000 6.103" Properties=species:S:1:pos:R:3 comment="PBE-GGA MgCuHg, optimized geometry" total_magnetization_mub_per_cell=0.0 final_energy_ev_per_cell=-12.33 e_above_lowest_polymorph_mev_per_atom=21 pbc="T T T"
Mg 2.182 1.053 4.917
Mg 0.103 3.158 1.223
Cu 0.150 1.053 3.025
Cu 2.135 3.158 3.116
Hg 2.235 1.053 1.237
Hg 0.050 3.158 4.903

***

No. 8
14
Lattice="6.761 1.234 -2.126 -2.575 7.749 -3.759 0.884 -0.367 8.741" Properties=species:S:1:pos:R:3 comment="PBE-GGA La2Sm4Dy, optimized geometry" total_magnetization_mub_per_cell=0.0 final_energy_ev_per_cell=-66.02 e_above_lowest_polymorph_mev_per_atom=0 pbc="T T T"
Dy 2.889 4.730 -0.635
Dy 0.215 0.840 0.918
Sm 5.150 2.498 5.354
Sm 5.683 3.836 1.750
Sm 4.880 7.315 1.153
Sm -0.534 4.121 0.461
Sm 3.619 1.451 -0.174
Sm 3.452 6.326 -4.073
Sm 1.755 1.839 6.418
Sm -1.253 7.456 -0.003
La 1.496 6.708 2.176
La 2.301 3.246 2.802
La 2.164 8.106 -1.077
La 0.039 5.676 -2.980

***

No. 9
4
Lattice="-2.866 0.390 -0.881 1.260 -1.153 -4.607 -0.003 -4.902 -2.160" Properties=species:S:1:pos:R:3 comment="PBE-GGA CuTeIr2, optimized geometry" total_magnetization_mub_per_cell=0.0 final_energy_ev_per_cell=-23.52 raw_formation_energy_ev_per_atom=0.3592 pbc="T T T"
Cu -0.001 -2.451 -1.080
Ir 0.000 0.000 0.000
Ir -0.803 -0.381 -2.744
Te -0.804 -2.832 -3.824

***

No. 10
6
Lattice="7.479 -0.013 0.016 -2.247 4.402 -0.003 0.210 -3.042 6.549" Properties=species:S:1:pos:R:3 comment="PBE-GGA RbPdI, optimized geometry" total_magnetization_mub_per_cell=0.0 final_energy_ev_per_cell=-18.95 e_above_lowest_polymorph_mev_per_atom=85 raw_formation_energy_ev_per_atom=-0.5874 pbc="T T T"
I 2.263 0.358 4.545
I 5.024 3.320 1.290
Pd 5.691 0.899 0.530
Pd 3.842 -1.624 5.309
Rb 5.916 1.089 4.316
Rb 1.370 2.590 1.520

***

No. 11
4
Lattice="-4.868 1.789 0.482 -4.020 -3.308 -0.168 -2.728 -1.005 4.322" Properties=species:S:1:pos:R:3 comment="PBE-GGA CeTmSnPd, optimized geometry" total_magnetization_mub_per_cell=1.1 final_energy_ev_per_cell=-22.06 pbc="T T T"
Pd -8.712 -1.893 3.477
Tm -5.808 -1.262 2.318
Sn -2.904 -0.631 1.159
Ce 0.000 0.000 0.000

***

No. 12
5
Lattice="4.948 0.000 0.000 0.000 5.317 0.000 0.000 0.000 4.948" Properties=species:S:1:pos:R:3 comment="PBE-GGA TaTlVZn2, optimized geometry" total_magnetization_mub_per_cell=0.3 final_energy_ev_per_cell=-17.87 pbc="T T T"
Tl 0.000 2.658 0.000
V 2.474 2.658 2.474
Zn 0.000 0.000 2.474
Zn 2.474 0.000 0.000
Ta 0.000 0.000 0.000

***

No. 13
4
Lattice="5.121 -0.020 0.000 1.882 4.762 0.000 -3.501 -2.371 2.888" Properties=species:S:1:pos:R:3 comment="PBE-GGA Cu2PbAu, optimized geometry" total_magnetization_mub_per_cell=0.0 final_energy_ev_per_cell=-14.42 pbc="T T T"
Au 2.560 -0.010 1.444
Cu 0.000 0.000 0.000
Cu 0.941 2.381 1.444
Pb 3.501 2.371 0.000

***

No. 14
12
Lattice="6.977 -0.689 0.021 -0.726 7.224 1.157 0.037 1.505 8.849" Properties=species:S:1:pos:R:3 comment="PBE-GGA SrLi2NpBr8, optimized geometry" total_magnetization_mub_per_cell=3.0 final_energy_ev_per_cell=-50.27 raw_formation_energy_ev_per_atom=-1.5367 pbc="T T T"
Sr 0.018 0.752 4.424
Li 3.520 3.202 6.379
Li 2.768 4.838 3.648
Np 0.000 0.000 0.000
Br 0.303 5.874 3.445
Br 3.941 5.068 1.372
Br 5.956 1.216 1.756
Br 5.984 2.166 6.582
Br 2.347 2.971 8.656
Br 0.331 6.823 8.272
Br 3.730 5.664 5.813
Br 2.558 2.375 4.214

***

No. 15
4
Lattice="3.005 0.000 0.000 0.000 3.005 0.000 0.000 0.000 5.925" Properties=species:S:1:pos:R:3 comment="PBE-GGA Fe2AsIr, optimized geometry" total_magnetization_mub_per_cell=5.2 final_energy_ev_per_cell=-30.28 pbc="T T T"
As 1.503 1.503 4.592
Fe 0.000 0.000 0.012
Fe 1.503 1.503 1.357
Ir 0.000 0.000 2.926

***

No. 16
10
Lattice="-4.737 4.729 -1.279 -3.737 -2.337 5.197 3.816 12.163 12.683" Properties=species:S:1:pos:R:3 comment="PBE-GGA K3RbAu, optimized geometry" total_magnetization_mub_per_cell=0.0 final_energy_ev_per_cell=-13.50 e_above_lowest_polymorph_mev_per_atom=291 pbc="T T T"
K -5.433 3.905 6.785
K 1.010 8.988 11.337
K -0.971 7.750 14.091
K -2.923 1.400 7.463
K -1.693 4.661 5.347
K -2.966 9.894 11.253
Au -0.609 11.727 9.305
Au -4.549 6.361 4.057
Rb 0.000 0.000 0.000
Rb -2.079 5.511 9.919

***

No. 17
5
Lattice="-2.276 4.643 -3.392 2.785 -2.301 -5.019 -5.031 -3.375 -1.244" Properties=species:S:1:pos:R:3 comment="PBE-GGA Sr3TaSb, optimized geometry" total_magnetization_mub_per_cell=5.8 final_energy_ev_per_cell=-17.62 e_above_lowest_polymorph_mev_per_atom=0 raw_formation_energy_ev_per_atom=0.6801 pbc="T T T"
Sb 0.000 0.000 0.000
Sr 1.393 -1.151 -2.509
Sr -2.515 -1.687 -0.622
Sr -1.138 2.322 -1.696
Ta -2.260 -0.516 -4.828

***

No. 18
6
Lattice="4.248 0.000 0.000 -2.124 3.679 0.000 0.000 0.000 10.156" Properties=species:S:1:pos:R:3 comment="PBE-GGA KNaGa2Ge2, optimized geometry" total_magnetization_mub_per_cell=0.0 final_energy_ev_per_cell=-18.79 pbc="T T T"
K 0.000 0.000 0.000
Na 0.000 0.000 5.078
Ga 2.124 1.226 2.832
Ga 0.000 2.452 7.324
Ge 2.124 1.226 7.491
Ge 0.000 2.452 2.666

***

No. 19
4
Lattice="9.674 -0.016 -0.009 9.172 3.076 -0.009 9.172 1.489 2.691" Properties=species:S:1:pos:R:3 comment="PBE-GGA Ca2NiW, optimized geometry" total_magnetization_mub_per_cell=0.0 final_energy_ev_per_cell=-19.51 e_above_lowest_polymorph_mev_per_atom=416 pbc="T T T"
Ni 7.005 1.137 0.668
Ca 27.823 4.517 2.654
Ca 14.204 2.306 1.355
W 21.014 3.412 2.004

***

No. 20
5
Lattice="-3.777 -1.769 -0.169 1.317 -2.520 -3.055 1.694 -4.003 4.033" Properties=species:S:1:pos:R:3 comment="PBE-GGA SnSeBrN2, optimized geometry" total_magnetization_mub_per_cell=2.8 final_energy_ev_per_cell=-19.34 e_above_lowest_polymorph_mev_per_atom=0 raw_formation_energy_ev_per_atom=1.2942 pbc="T T T"
Se 0.847 -2.002 2.016
Sn 0.000 0.000 0.000
Br -0.383 -4.146 0.404
N 0.659 -1.260 -1.528
N -1.888 -0.884 -0.085

***

No. 21
7
Lattice="3.659 -0.003 0.000 -1.823 5.929 -0.140 -0.005 -1.070 7.227" Properties=species:S:1:pos:R:3 comment="PBE-GGA Ce3Se2N2, optimized geometry" total_magnetization_mub_per_cell=1.8 final_energy_ev_per_cell=-51.94 e_above_lowest_polymorph_mev_per_atom=215 raw_formation_energy_ev_per_atom=-1.5034 pbc="T T T"
Ce 0.000 0.000 0.000
Ce 1.833 3.038 1.504
Ce -0.002 1.817 5.583
Se 1.830 3.842 4.430
Se 0.001 1.013 2.657
N 1.826 0.651 6.825
N 0.005 4.204 0.262

***

No. 22
5
Lattice="-0.279 0.526 3.629 0.514 -3.597 0.561 3.827 0.580 0.211" Properties=species:S:1:pos:R:3 comment="PBE-GGA CuOsNO2, optimized geometry" total_magnetization_mub_per_cell=3.4 final_energy_ev_per_cell=-27.12 raw_formation_energy_ev_per_atom=1.2894 pbc="T T T"
Os 2.031 -1.246 2.200
O 0.257 -1.799 0.280
O -0.140 0.263 1.814
Cu 0.000 0.000 0.000
N 1.914 0.290 0.105